The following is a GGA-PBE calculation of Sr2CdSn3Pd4 after structural relaxation, from Alexandria.

Computed properties:
Formation energy (eV/atom): -0.681
Total DFT energy (no corrections) (eV per atom): -4.387
Mass density (g/cm³): 7.47
N(E_F) (states/eV per atom): 0.4441

Cell and atoms, written as POSCAR:
```
Sr2CdSn3Pd4
1.0
4.7559 0.0000 0.0000
0.0000 4.7559 0.0000
0.0000 0.0000 10.5156
Sr Cd Sn Pd
2 1 3 4
Direct
0.0000 0.5000 0.2440 Sr
0.5000 0.0000 0.7560 Sr
0.0000 0.0000 0.5000 Cd
0.0000 0.5000 0.8805 Sn
0.5000 0.0000 0.1195 Sn
0.5000 0.5000 0.5000 Sn
0.0000 0.0000 0.0000 Pd
0.0000 0.5000 0.6299 Pd
0.5000 0.0000 0.3701 Pd
0.5000 0.5000 0.0000 Pd
```

***

The following is a GGA-PBE calculation of SrCdSn2Pd2 after structural relaxation, from Alexandria.

Computed properties:
Formation energy (eV/atom): -0.302
Total DFT energy (no corrections) (eV per atom): -3.800
Mass density (g/cm³): 6.94
N(E_F) (states/eV per atom): 0.5451

Cell and atoms, written as POSCAR:
```
SrCdSn2Pd2
1.0
5.0273 0.0000 0.0000
0.0000 5.0273 0.0000
0.0000 0.0000 6.1524
Sr Cd Sn Pd
1 1 2 2
Direct
0.0000 0.0000 0.0000 Sr
0.0000 0.0000 0.5000 Cd
0.5000 0.5000 0.2506 Sn
0.5000 0.5000 0.7494 Sn
0.0000 0.5000 0.5000 Pd
0.5000 0.0000 0.5000 Pd
```

***

The following is a GGA-PBE calculation of Sr2CdSnPd after structural relaxation, from Alexandria.

Computed properties:
Formation energy (eV/atom): -0.427
Total DFT energy (no corrections) (eV per atom): -3.122
Mass density (g/cm³): 4.85
N(E_F) (states/eV per atom): 0.4246

Cell and atoms, written as POSCAR:
```
Sr2CdSnPd
1.0
5.8952 0.0000 0.0000
0.0000 5.8952 0.0000
0.0000 0.0000 5.0499
Sr Cd Sn Pd
2 1 1 1
Direct
0.0000 0.5000 0.0000 Sr
0.5000 0.0000 0.0000 Sr
0.0000 0.0000 0.5000 Cd
0.5000 0.5000 0.5000 Sn
0.5000 0.5000 0.0000 Pd
```

***

The following is a GGA-PBE calculation of Sr2Cd3Sn4Pd after structural relaxation, from Alexandria.

Computed properties:
Formation energy (eV/atom): -0.395
Total DFT energy (no corrections) (eV per atom): -3.126
Mass density (g/cm³): 6.59
N(E_F) (states/eV per atom): 0.3330

Cell and atoms, written as POSCAR:
```
Sr2Cd3Sn4Pd
1.0
4.7783 0.0000 0.0000
0.0000 4.7783 0.0000
0.0000 0.0000 12.0747
Sr Cd Sn Pd
2 3 4 1
Direct
0.0000 0.5000 0.2300 Sr
0.5000 0.0000 0.7700 Sr
0.0000 0.0000 0.0000 Cd
0.0000 0.5000 0.6464 Cd
0.5000 0.0000 0.3536 Cd
0.0000 0.0000 0.5000 Sn
0.0000 0.5000 0.8770 Sn
0.5000 0.0000 0.1230 Sn
0.5000 0.5000 0.5000 Sn
0.5000 0.5000 0.0000 Pd
```

***

The following is a GGA-PBE calculation of CdTcSnPd2 after structural relaxation, from Alexandria.

Computed properties:
Formation energy (eV/atom): 1.165
Total DFT energy (no corrections) (eV per atom): -3.969
Mass density (g/cm³): 7.38
N(E_F) (states/eV per atom): 1.2315

Cell and atoms, written as POSCAR:
```
CdTcSnPd2
1.0
4.9149 0.0000 0.0000
0.0000 4.9149 0.0000
0.0000 0.0000 5.0474
Cd Tc Sn Pd
1 1 1 2
Direct
0.0000 0.0000 0.0000 Cd
0.0000 0.0000 0.5000 Tc
0.5000 0.5000 0.5000 Sn
0.0000 0.5000 0.0000 Pd
0.5000 0.0000 0.0000 Pd
```

***

The following is a GGA-PBE calculation of ThCdSnPd after structural relaxation, from Alexandria.

Computed properties:
Formation energy (eV/atom): -0.428
Total DFT energy (no corrections) (eV per atom): -4.811
Mass density (g/cm³): 10.19
N(E_F) (states/eV per atom): 0.5637

Cell and atoms, written as POSCAR:
```
ThCdSnPd
1.0
0.0000 3.5942 3.5942
3.5942 0.0000 3.5942
3.5942 3.5942 0.0000
Th Cd Sn Pd
1 1 1 1
Direct
0.0000 0.0000 0.0000 Th
0.7500 0.7500 0.7500 Cd
0.5000 0.5000 0.5000 Sn
0.2500 0.2500 0.2500 Pd
```

***

Q: Which value of N(E_F) does entry 6 give?
A: 0.5637 states/eV per atom